<a>
The following is a PBE calculation of GaMo3Pb after structural relaxation, from Alexandria.

Cell lengths 4.663, 4.663, 4.663 Å; angles 90.00, 90.00, 90.00 degrees
Element x y z (fractional)
Mo1 0.000 0.500 0.000
Ga1 0.000 0.000 0.000
Mo2 0.500 0.000 0.000
Mo3 0.000 0.000 0.500
Pb1 0.500 0.500 0.500

- Theoretical density: 9.25 Mg/m³



<b>
The following is a PBE calculation of GaMo3Pb after structural relaxation, from Alexandria.

Cell lengths 5.004, 5.004, 5.004 Å; angles 90.00, 90.00, 90.00 degrees
Element x y z (fractional)
Mo1 0.000 0.000 0.500
Mo2 0.000 0.500 0.000
Ga1 0.500 0.500 0.500
Pb1 0.000 0.000 0.000
Mo3 0.500 0.000 0.000

- Theoretical density: 7.48 Mg/m³



Least stable = <b>



<a>
The following is a PBE calculation of GaMoPd3 after structural relaxation, from Alexandria.

Cell lengths 4.596, 4.596, 4.596 Å; angles 90.00, 90.00, 90.00 degrees
Element x y z (fractional)
Ga1 0.000 0.000 0.000
Pd1 0.000 0.500 0.000
Pd2 0.000 0.000 0.500
Mo1 0.500 0.500 0.500
Pd3 0.500 0.000 0.000

- Theoretical density: 8.30 Mg/m³



<b>
The following is a PBE calculation of GaMoPd3 after structural relaxation, from Alexandria.

Cell lengths 4.830, 4.830, 4.830 Å; angles 90.00, 90.00, 90.00 degrees
Element x y z (fractional)
Mo1 0.000 0.000 0.000
Pd1 0.500 0.000 0.000
Ga1 0.500 0.500 0.500
Pd2 0.000 0.500 0.000
Pd3 0.000 0.000 0.500

- Theoretical density: 7.15 Mg/m³



Least stable = <b>



<a>
The following is a PBE calculation of GaMoPd after structural relaxation, from Alexandria.

Cell lengths 2.783, 2.783, 6.176 Å; angles 103.02, 103.02, 90.00 degrees
Element x y z (fractional)
Mo1 0.332 0.332 0.665
Ga1 0.664 0.664 0.328
Pd1 0.004 0.004 0.007

- Theoretical density: 9.97 Mg/m³



<b>
The following is a PBE calculation of GaMoPd after structural relaxation, from Alexandria.

Cell lengths 3.189, 3.189, 10.063 Å; angles 99.12, 99.12, 90.00 degrees
Element x y z (fractional)
Mo1 0.284 0.284 0.567
Pd1 0.432 0.432 0.864
Ga1 0.867 0.867 0.735
Mo2 0.716 0.716 0.433
Ga2 0.133 0.133 0.265
Pd2 0.568 0.568 0.136

- Theoretical density: 9.06 Mg/m³



Least stable = <b>



<a>
The following is a PBE calculation of Ga2MoPt after structural relaxation, from Alexandria.

Cell lengths 4.405, 4.405, 4.405 Å; angles 60.00, 60.00, 60.00 degrees
Element x y z (fractional)
Ga1 0.750 0.750 0.750
Mo1 0.000 0.000 0.000
Ga2 0.250 0.250 0.250
Pt1 0.500 0.500 0.500

- Theoretical density: 11.83 Mg/m³



<b>
The following is a PBE calculation of Ga2MoPt after structural relaxation, from Alexandria.

Cell lengths 6.974, 6.974, 5.669 Å; angles 52.04, 52.04, 90.00 degrees
Element x y z (fractional)
Mo1 0.500 0.500 0.000
Ga1 0.641 0.125 0.250
Ga2 0.875 0.891 0.750
Ga3 0.375 0.359 0.750
Mo2 0.250 0.750 0.500
Pt1 0.750 0.250 0.500
Pt2 0.000 0.000 0.000
Ga4 0.109 0.625 0.250

- Theoretical density: 10.51 Mg/m³



<c>
The following is a PBE calculation of Ga2MoPt after structural relaxation, from Alexandria.

Cell lengths 2.834, 2.834, 9.569 Å; angles 81.48, 81.48, 60.00 degrees
Element x y z (fractional)
Ga1 0.912 0.912 0.265
Pt1 0.000 0.000 0.000
Mo1 0.500 0.500 0.500
Ga2 0.088 0.088 0.735

- Theoretical density: 10.90 Mg/m³



Least stable = <b>



<a>
The following is a PBE calculation of GaMo2Pt2 after structural relaxation, from Alexandria.

Cell lengths 3.805, 3.805, 6.669 Å; angles 73.43, 73.43, 90.00 degrees
Element x y z (fractional)
Ga1 0.000 0.000 0.000
Mo1 0.405 0.405 0.190
Mo2 0.595 0.595 0.810
Pt1 0.250 0.750 0.500
Pt2 0.750 0.250 0.500

- Theoretical density: 12.25 Mg/m³



<b>
The following is a PBE calculation of GaMo2Pt2 after structural relaxation, from Alexandria.

Cell lengths 7.935, 7.935, 2.750 Å; angles 90.00, 90.00, 90.00 degrees
Element x y z (fractional)
Pt1 0.169 0.669 0.500
Mo1 0.379 0.879 0.000
Pt2 0.669 0.831 0.500
Mo2 0.621 0.121 0.000
Mo3 0.121 0.379 0.000
Mo4 0.879 0.621 0.000
Ga1 0.000 0.000 0.000
Ga2 0.500 0.500 0.000
Pt3 0.831 0.331 0.500
Pt4 0.331 0.169 0.500

- Theoretical density: 12.50 Mg/m³



Least stable = <a>



<a>
The following is a PBE calculation of RbGa2Mo after structural relaxation, from Alexandria.

Cell lengths 5.104, 5.104, 5.104 Å; angles 60.00, 60.00, 60.00 degrees
Element x y z (fractional)
Mo1 0.500 0.500 0.500
Rb1 0.000 0.000 0.000
Ga1 0.750 0.750 0.750
Ga2 0.250 0.250 0.250

- Theoretical density: 5.67 Mg/m³



<b>
The following is a PBE calculation of RbGa2Mo after structural relaxation, from Alexandria.

Cell lengths 5.665, 5.665, 9.415 Å; angles 72.49, 72.49, 90.00 degrees
Element x y z (fractional)
Mo1 0.750 0.250 0.500
Ga1 0.875 0.625 0.250
Ga2 0.875 0.125 0.250
Rb1 0.250 0.750 0.500
Ga3 0.375 0.125 0.750
Ga4 0.875 0.125 0.750
Rb2 0.500 0.500 0.000
Mo2 0.000 0.000 0.000

- Theoretical density: 3.90 Mg/m³



Least stable = <a>



<a>
The following is a PBE calculation of GaRe2Mo after structural relaxation, from Alexandria.

Cell lengths 2.820, 2.820, 9.346 Å; angles 81.32, 81.32, 60.00 degrees
Element x y z (fractional)
Re1 0.912 0.912 0.264
Mo1 0.000 0.000 0.000
Ga1 0.500 0.500 0.500
Re2 0.088 0.088 0.736

- Theoretical density: 14.10 Mg/m³



<b>
The following is a PBE calculation of GaRe2Mo after structural relaxation, from Alexandria.

Cell lengths 4.405, 4.405, 4.405 Å; angles 60.00, 60.00, 60.00 degrees
Element x y z (fractional)
Re1 0.750 0.750 0.750
Re2 0.250 0.250 0.250
Ga1 0.000 0.000 0.000
Mo1 0.500 0.500 0.500

- Theoretical density: 14.78 Mg/m³



Least stable = <a>



<a>
The following is a PBE calculation of GaRe2Mo after structural relaxation, from Alexandria.

Cell lengths 7.197, 7.197, 5.725 Å; angles 51.06, 51.06, 90.00 degrees
Element x y z (fractional)
Ga1 0.250 0.750 0.500
Re1 0.875 0.896 0.750
Ga2 0.500 0.500 0.000
Re2 0.646 0.125 0.250
Re3 0.104 0.625 0.250
Mo1 0.750 0.250 0.500
Mo2 0.000 0.000 0.000
Re4 0.375 0.354 0.750

- Theoretical density: 13.15 Mg/m³



<b>
The following is a PBE calculation of GaRe2Mo after structural relaxation, from Alexandria.

Cell lengths 4.313, 4.313, 4.865 Å; angles 63.69, 63.69, 60.00 degrees
Element x y z (fractional)
Re1 0.070 0.070 0.791
Re2 0.264 0.264 0.208
Mo1 0.479 0.479 0.564
Ga1 0.688 0.688 0.937

- Theoretical density: 13.27 Mg/m³



Least stable = <a>



<a>
The following is a PBE calculation of GaRe3Mo after structural relaxation, from Alexandria.

Cell lengths 4.726, 4.726, 4.726 Å; angles 90.00, 90.00, 90.00 degrees
Element x y z (fractional)
Re1 0.000 0.000 0.500
Mo1 0.000 0.000 0.000
Ga1 0.500 0.500 0.500
Re2 0.000 0.500 0.000
Re3 0.500 0.000 0.000

- Theoretical density: 11.39 Mg/m³



<b>
The following is a PBE calculation of GaRe3Mo after structural relaxation, from Alexandria.

Cell lengths 4.455, 4.455, 4.455 Å; angles 90.00, 90.00, 90.00 degrees
Element x y z (fractional)
Re1 0.000 0.000 0.500
Re2 0.500 0.000 0.000
Re3 0.000 0.500 0.000
Ga1 0.000 0.000 0.000
Mo1 0.500 0.500 0.500

- Theoretical density: 13.60 Mg/m³



Least stable = <a>



<a>
The following is a PBE calculation of Ga2MoRh2 after structural relaxation, from Alexandria.

Cell lengths 7.197, 7.197, 2.835 Å; angles 90.00, 90.00, 90.00 degrees
Element x y z (fractional)
Ga1 0.135 0.365 0.000
Rh1 0.336 0.164 0.500
Rh2 0.664 0.836 0.500
Rh3 0.836 0.336 0.500
Mo1 0.500 0.500 0.000
Rh4 0.164 0.664 0.500
Mo2 0.000 0.000 0.000
Ga2 0.365 0.865 0.000
Ga3 0.865 0.635 0.000
Ga4 0.635 0.135 0.000

- Theoretical density: 9.98 Mg/m³



<b>
The following is a PBE calculation of Ga2MoRh2 after structural relaxation, from Alexandria.

Cell lengths 7.279, 7.279, 2.817 Å; angles 90.00, 90.00, 90.00 degrees
Element x y z (fractional)
Ga1 0.836 0.336 0.500
Rh1 0.865 0.635 0.000
Mo1 0.500 0.500 0.000
Rh2 0.635 0.135 0.000
Ga2 0.336 0.164 0.500
Rh3 0.135 0.365 0.000
Rh4 0.365 0.865 0.000
Ga3 0.164 0.664 0.500
Mo2 0.000 0.000 0.000
Ga4 0.664 0.836 0.500

- Theoretical density: 9.82 Mg/m³



Least stable = <b>



<a>
The following is a PBE calculation of Ga3MoS after structural relaxation, from Alexandria.

Cell lengths 4.994, 4.994, 4.994 Å; angles 90.00, 90.00, 90.00 degrees
Element x y z (fractional)
Ga1 0.000 0.500 0.000
Mo1 0.000 0.000 0.000
S1 0.500 0.500 0.500
Ga2 0.000 0.000 0.500
Ga3 0.500 0.000 0.000

- Theoretical density: 4.50 Mg/m³



<b>
The following is a PBE calculation of Ga3MoS after structural relaxation, from Alexandria.

Cell lengths 4.619, 4.619, 4.619 Å; angles 90.00, 90.00, 90.00 degrees
Element x y z (fractional)
S1 0.000 0.000 0.000
Ga1 0.500 0.000 0.000
Ga2 0.000 0.000 0.500
Ga3 0.000 0.500 0.000
Mo1 0.500 0.500 0.500

- Theoretical density: 5.68 Mg/m³



Least stable = <b>



<a>
The following is a PBE calculation of GaSb2TeMo after structural relaxation, from Alexandria.

Cell lengths 5.210, 5.210, 5.348 Å; angles 90.00, 90.00, 90.00 degrees
Element x y z (fractional)
Mo1 0.500 0.500 0.500
Ga1 0.000 0.000 0.000
Sb1 0.500 0.000 0.000
Te1 0.000 0.000 0.500
Sb2 0.000 0.500 0.000

- Theoretical density: 6.14 Mg/m³



<b>
The following is a PBE calculation of GaSb2TeMo after structural relaxation, from Alexandria.

Cell lengths 5.242, 5.242, 5.460 Å; angles 90.00, 90.00, 90.00 degrees
Element x y z (fractional)
Te1 0.000 0.000 0.500
Ga1 0.500 0.500 0.500
Sb1 0.000 0.500 0.000
Sb2 0.500 0.000 0.000
Mo1 0.000 0.000 0.000

- Theoretical density: 5.94 Mg/m³



Least stable = <a>



<a>
The following is a PBE calculation of ScGa2Mo2 after structural relaxation, from Alexandria.

Cell lengths 6.946, 6.946, 3.413 Å; angles 90.00, 90.00, 90.00 degrees
Element x y z (fractional)
Ga1 0.628 0.128 0.000
Mo1 0.170 0.670 0.500
Ga2 0.372 0.872 0.000
Ga3 0.872 0.628 0.000
Mo2 0.830 0.330 0.500
Ga4 0.128 0.372 0.000
Sc1 0.000 0.000 0.000
Sc2 0.500 0.500 0.000
Mo3 0.670 0.830 0.500
Mo4 0.330 0.170 0.500

- Theoretical density: 7.59 Mg/m³



<b>
The following is a PBE calculation of ScGa2Mo2 after structural relaxation, from Alexandria.

Cell lengths 7.904, 7.904, 2.762 Å; angles 90.00, 90.00, 90.00 degrees
Element x y z (fractional)
Ga1 0.181 0.681 0.500
Mo1 0.386 0.886 0.000
Mo2 0.886 0.614 0.000
Sc1 0.500 0.500 0.000
Sc2 0.000 0.000 0.000
Ga2 0.819 0.319 0.500
Mo3 0.114 0.386 0.000
Ga3 0.681 0.819 0.500
Ga4 0.319 0.181 0.500
Mo4 0.614 0.114 0.000

- Theoretical density: 7.24 Mg/m³



Least stable = <b>